Here is a relaxed Ce3Si4Pd2 crystal from Alexandria via LeMat-Bulk. Energies are from PBE.

The structure in POSCAR format:
```
Ce3Si4Pd2
1.0
-1.999 -2.978 2.187
5.722 -1.103 -0.307
-0.415 5.071 6.525
Pd Ce Si
2 3 4
Cartesian
3.373 1.645 5.321
-0.064 -0.656 3.083
0.000 0.000 0.000
0.283 1.049 5.720
3.026 -0.059 2.684
1.083 -2.367 1.800
2.955 -0.712 5.765
2.226 3.357 6.604
0.354 1.702 2.640
```

Calculated values
Calculated volume (Å³/cell): 184.54
Energy relative to the elements, uncorrected (meV/atom): -851